Compound: Cs2InHgI3
Source: the Alexandria database
Functional: PBE-GGA
Structure: optimized geometry

Cell lengths 5.6431, 6.3716, 11.0394 Å; angles 106.77, 104.81, 90.00 degrees
With the nearest neighbours (Å) after each atom.
Fractional coordinates of all 7 atoms:
I 0.1641 0.1641 0.3281  1 In 3.34
I 0.8359 0.8359 0.6719  1 In 3.34
I 0.0000 0.5000 0.0000  2 In 3.19
Cs 0.3515 0.3515 0.7030  7 I 3.82-4.27
Cs 0.6485 0.6485 0.2970  7 I 3.82-4.27
In 0.0000 0.0000 0.0000  2 Hg 2.82
Hg 0.5000 0.0000 0.0000  2 In 2.82

Final energy   -2.31 eV per atom
Space-group type   No. 71
Formation energy without anion corrections   -6.803 eV per formula unit
Magnetization   0.00 μB per formula unit
ρ   4.36 g/cm³


Compound: Pa3Hg2C
Source: the Alexandria database
Functional: PBE-GGA
Structure: optimized geometry

Cell lengths 4.9038, 6.6046, 8.5701 Å; angles 90.00, 73.37, 90.00 degrees
With the nearest neighbours (Å) after each atom.
Fractional coordinates of all 12 atoms:
Pa 0.8931 0.0000 0.2137  2 C 2.41
Pa 0.1069 0.5000 0.7863  2 C 2.41
C 0.0000 0.2500 0.0000  6 Pa 2.41-2.45
Hg 0.7000 0.2500 0.5999  4 Hg 2.95-3.30, 1 Pa 3.29
Hg 0.7001 0.7500 0.5999  4 Hg 2.95-3.30, 1 Pa 3.29
C 0.0000 0.7500 0.0000  6 Pa 2.41-2.45
Pa 0.5000 0.2500 0.0000  2 C 2.45
Pa 0.1069 0.0000 0.7863  2 C 2.41
Pa 0.8931 0.5000 0.2137  2 C 2.41
Hg 0.2999 0.2500 0.4001  4 Hg 2.95-3.30, 1 Pa 3.29
Pa 0.5000 0.7500 0.0000  2 C 2.45
Hg 0.3000 0.7500 0.4001  4 Hg 2.95-3.30, 1 Pa 3.29

Final energy   -6.55 eV per atom
Space-group type   No. 65
Formation energy   -0.17 eV per atom
Magnetization   0.55 μB per formula unit
ρ   13.81 g/cm³


Compound: LiSc4In3
Source: the Alexandria database
Functional: PBE-GGA
Structure: optimized geometry

Cell lengths 4.9906, 4.9906, 8.7057 Å; angles 73.34, 73.34, 60.00 degrees
With the nearest neighbours (Å) after each atom.
Fractional coordinates of all 8 atoms:
In 0.5000 0.5000 0.5000  8 Sc 3.06
Sc 0.8757 0.8757 0.3729  1 Li 3.06, 7 In 3.06-3.24
Sc 0.3757 0.3757 0.8728  5 In 2.95-3.06, 3 Li 3.06
Li 0.0000 0.0000 0.0000  8 Sc 3.06
In 0.2559 0.2559 0.2324  8 Sc 2.95-3.24
In 0.7441 0.7441 0.7676  8 Sc 2.95-3.24
Sc 0.6243 0.6243 0.1272  5 In 2.95-3.06, 3 Li 3.06
Sc 0.1243 0.1243 0.6271  1 Li 3.06, 7 In 3.06-3.24

Final energy   -4.79 eV per atom
Space-group type   No. 166
Formation energy   -0.35 eV per atom
Magnetization   0.00 μB per formula unit
ρ   4.98 g/cm³


Compound: Nd2Sm6Y3Tl
Source: the Alexandria database
Functional: PBE-GGA
Structure: optimized geometry

Cell lengths 6.2084, 6.2084, 11.8948 Å; angles 95.01, 95.01, 120.08 degrees
With the nearest neighbours (Å) after each atom.
Fractional coordinates of all 12 atoms:
Sm 0.2433 0.2433 0.7490  6 Sm 3.51-3.62, 3 Y 3.56-3.60, 1 Tl 3.57, 2 Nd 3.60
Sm 0.4101 0.0833 0.2501  6 Sm 3.51-3.62, 1 Tl 3.56, 3 Y 3.57-3.61, 2 Nd 3.60
Nd 0.3338 0.6662 0.0000  3 Nd 3.58-3.59, 3 Tl 3.58-3.59, 6 Sm 3.60
Sm 0.7567 0.7567 0.2510  6 Sm 3.51-3.62, 3 Y 3.56-3.60, 1 Tl 3.57, 2 Nd 3.60
Nd 0.6662 0.3338 0.0000  3 Nd 3.58-3.59, 3 Tl 3.58-3.59, 6 Sm 3.60
Tl 0.0000 0.0000 0.0000  6 Sm 3.56-3.57, 6 Nd 3.58-3.59
Sm 0.0833 0.4101 0.2501  6 Sm 3.51-3.62, 1 Tl 3.56, 3 Y 3.57-3.61, 2 Nd 3.60
Sm 0.9167 0.5899 0.7499  6 Sm 3.51-3.62, 1 Tl 3.56, 3 Y 3.57-3.61, 2 Nd 3.60
Y 0.5000 0.5000 0.5000  6 Sm 3.57-3.60, 6 Y 3.58
Y 0.8332 0.1668 0.5000  6 Sm 3.56-3.61, 6 Y 3.58-3.59
Sm 0.5899 0.9167 0.7499  6 Sm 3.51-3.62, 1 Tl 3.56, 3 Y 3.57-3.61, 2 Nd 3.60
Y 0.1668 0.8332 0.5000  6 Sm 3.56-3.61, 6 Y 3.58-3.59

Final energy   -4.99 eV per atom
Space-group type   No. 12
Formation energy   -0.03 eV per atom
Magnetization   0.00 μB per formula unit
ρ   7.06 g/cm³


Compound: CaSn2Au2
Source: the Alexandria database
Functional: PBE-GGA
Structure: optimized geometry

Cell lengths 8.2547, 8.2547, 3.5052 Å; angles 90.00, 90.00, 90.00 degrees
With the nearest neighbours (Å) after each atom.
Fractional coordinates of all 10 atoms:
Au 0.6627 0.8373 0.5000  6 Sn 2.93-3.03
Sn 0.8640 0.6360 0.0000  6 Au 2.93-3.03, 1 Sn 3.18, 2 Ca 3.21
Sn 0.1360 0.3640 0.0000  6 Au 2.93-3.03, 1 Sn 3.18, 2 Ca 3.21
Sn 0.6360 0.1360 0.0000  6 Au 2.93-3.03, 1 Sn 3.18, 2 Ca 3.21
Ca 0.5000 0.5000 0.0000  4 Sn 3.21, 2 Ca 3.51, 8 Au 3.55
Au 0.3373 0.1627 0.5000  6 Sn 2.93-3.03
Sn 0.3640 0.8640 0.0000  6 Au 2.93-3.03, 1 Sn 3.18, 2 Ca 3.21
Au 0.1627 0.6627 0.5000  6 Sn 2.93-3.03
Au 0.8373 0.3373 0.5000  6 Sn 2.93-3.03
Ca 0.0000 0.0000 0.0000  4 Sn 3.21, 2 Ca 3.51, 8 Au 3.55

Final energy   -3.61 eV per atom
Space-group type   No. 127
Formation energy   -0.30 eV per atom
Magnetization   0.00 μB per formula unit
ρ   9.34 g/cm³


Compound: LaAlSi6Pt2
Source: the Alexandria database
Functional: PBE-GGA
Structure: optimized geometry

Cell lengths 4.8679, 4.8679, 10.5225 Å; angles 76.63, 76.63, 60.00 degrees
With the nearest neighbours (Å) after each atom.
Fractional coordinates of all 10 atoms:
Si 0.6934 0.2308 0.2932  4 Si 2.43-2.50, 1 Pt 2.46, 1 Al 2.54
Pt 0.7292 0.7292 0.8125  3 Si 2.46
Si 0.2174 0.3066 0.7068  4 Si 2.43-2.50, 1 Pt 2.46, 1 Al 2.54
Pt 0.2708 0.2708 0.1875  3 Si 2.46
Si 0.7826 0.6934 0.2932  4 Si 2.43-2.50, 1 Pt 2.46, 1 Al 2.54
La 0.0000 0.0000 0.0000  6 Si 3.29, 6 Pt 3.39
Al 0.5000 0.5000 0.5000  6 Si 2.54
Si 0.3066 0.7692 0.7068  4 Si 2.43-2.50, 1 Pt 2.46, 1 Al 2.54
Si 0.7692 0.2174 0.7068  4 Si 2.43-2.50, 1 Pt 2.46, 1 Al 2.54
Si 0.2308 0.7826 0.2932  4 Si 2.43-2.50, 1 Pt 2.46, 1 Al 2.54

Final energy   -5.31 eV per atom
Space-group type   No. 148
Formation energy without anion corrections   0.155 eV per formula unit
Magnetization   0.00 μB per formula unit
ρ   5.78 g/cm³


Compound: Sb3TeAu2
Source: the Alexandria database
Functional: PBE-GGA
Structure: optimized geometry

Cell lengths 4.2526, 6.4695, 6.4695 Å; angles 104.36, 90.00, 90.00 degrees
With the nearest neighbours (Å) after each atom.
Fractional coordinates of all 6 atoms:
Au 0.0000 0.0965 0.9035  4 Sb 2.75-2.79
Sb 0.5000 0.2670 0.7330  3 Au 2.69-2.75
Te 0.5000 0.7905 0.2095  1 Au 2.66
Sb 0.0000 0.1624 0.3463  1 Au 2.79
Au 0.5000 0.5299 0.4701  1 Te 2.66, 1 Sb 2.69
Sb 0.0000 0.6537 0.8376  1 Au 2.79

Final energy   -3.58 eV per atom
Space-group type   No. 38
Formation energy without anion corrections   0.611 eV per formula unit
Magnetization   0.00 μB per formula unit
ρ   8.54 g/cm³


Compound: La3TmB2N6
Source: the Alexandria database
Functional: PBE-GGA
Structure: optimized geometry

Cell lengths 5.6257, 5.6257, 6.4398 Å; angles 90.00, 90.00, 120.00 degrees
With the nearest neighbours (Å) after each atom.
Fractional coordinates of all 12 atoms:
N 0.1838 0.8162 0.2790  1 B 1.46
N 0.6323 0.8162 0.2790  1 B 1.46
N 0.3677 0.1838 0.7210  1 B 1.46
N 0.1838 0.3677 0.2790  1 B 1.46
Tm 0.0000 0.0000 0.5000  6 N 2.29
La 0.3333 0.6667 0.6698  1 B 2.67, 9 N 2.84-2.91
B 0.6667 0.3333 0.7440  3 N 1.46
N 0.8162 0.1838 0.7210  1 B 1.46
La 0.6667 0.3333 0.3302  1 B 2.67, 9 N 2.84-2.91
N 0.8162 0.6323 0.7210  1 B 1.46
B 0.3333 0.6667 0.2560  3 N 1.46
La 0.0000 0.0000 0.0000  6 N 2.54

Final energy   -8.17 eV per atom
Space-group type   No. 164
Formation energy without anion corrections   -15.514 eV per formula unit
Magnetization   0.00 μB per formula unit
ρ   6.50 g/cm³